Run P
Here is PmTm2Hg after structural relaxation from Alexandria via LeMat-Bulk. Energies are from GGA-PBE.

Values from the calculation:
M_tot in μB/cell: 0.5
DOS(E_F) in states/eV/f.u.: 5.24

Cell lengths 4.776, 4.818, 4.818 Å; angles 90.00, 90.00, 90.00 degrees
Last column: magnetic moment on the atom in μB.
Element x y z (fractional)
Pm 0.500 0.500 0.500  0.14
Tm 0.000 0.500 0.000  0.14
Hg 0.500 0.000 0.000  0.00
Tm 0.000 0.000 0.500  0.14

Run Q
Here is PmTm2Hg after structural relaxation from Alexandria via LeMat-Bulk. Energies are from GGA-PBE.

Values from the calculation:
M_tot in μB/cell: 0.0
DOS(E_F) in states/eV/f.u.: 4.02

Cell lengths 3.590, 3.590, 8.889 Å; angles 90.00, 90.00, 90.00 degrees
Element x y z (fractional)
Hg 0.500 0.500 0.000
Pm 0.500 0.500 0.500
Tm 0.000 0.000 0.217
Tm 0.000 0.000 0.783

Computed stability ranking, most favorable first: run Q, run P

Run P
Here is PmTm2Hg after structural relaxation from Alexandria via LeMat-Bulk. Energies are from GGA-PBE.

Values from the calculation:
M_tot in μB/cell: 0.0
DOS(E_F) in states/eV/f.u.: 4.63

Cell lengths 3.623, 3.623, 10.665 Å; angles 80.22, 80.22, 60.00 degrees
Element x y z (fractional)
Tm 0.259 0.259 0.223
Tm 0.074 0.074 0.777
Hg 0.666 0.666 0.001
Pm 0.500 0.500 0.500

Run Q
Here is PmTm2Hg after structural relaxation from Alexandria via LeMat-Bulk. Energies are from GGA-PBE.

Values from the calculation:
M_tot in μB/cell: 1.1
DOS(E_F) in states/eV/f.u.: 6.56

Cell lengths 5.387, 5.387, 5.387 Å; angles 60.00, 60.00, 60.00 degrees
Last column: magnetic moment on the atom in μB.
Element x y z (fractional)
Tm 0.750 0.750 0.750  0.26
Pm 0.000 0.000 0.000  0.33
Tm 0.250 0.250 0.250  0.26
Hg 0.500 0.500 0.500  0.00

Run R
Here is PmTm2Hg after structural relaxation from Alexandria via LeMat-Bulk. Energies are from GGA-PBE.

Values from the calculation:
M_tot in μB/cell: 0.0
DOS(E_F) in states/eV/f.u.: 3.27

Cell lengths 3.593, 3.593, 10.714 Å; angles 80.35, 80.35, 60.00 degrees
Element x y z (fractional)
Pm 0.500 0.500 0.500
Hg 0.000 0.000 0.000
Tm 0.258 0.258 0.225
Tm 0.742 0.742 0.775

Computed stability ranking, most favorable first: run R, run P, run Q

Run P
Here is Pm2TmHg2 after structural relaxation from Alexandria via LeMat-Bulk. Energies are from GGA-PBE.

Values from the calculation:
M_tot in μB/cell: 0.6
DOS(E_F) in states/eV/f.u.: 5.17

Cell lengths 3.758, 5.310, 14.117 Å; angles 90.00, 97.63, 90.00 degrees
Last column: magnetic moment on the atom in μB.
Element x y z (fractional)
Hg 0.359 0.250 0.718  0.00
Pm 0.046 0.750 0.090  0.13
Hg 0.443 0.750 0.888  0.01
Hg 0.557 0.250 0.112  0.01
Tm 0.852 0.750 0.706  0.02
Pm 0.767 0.250 0.532  0.01
Pm 0.954 0.250 0.910  0.13
Tm 0.148 0.250 0.294  0.02
Hg 0.641 0.750 0.282  0.00
Pm 0.233 0.750 0.468  0.01

Run Q
Here is Pm2TmHg2 after structural relaxation from Alexandria via LeMat-Bulk. Energies are from GGA-PBE.

Values from the calculation:
M_tot in μB/cell: 0.0
DOS(E_F) in states/eV/f.u.: 6.35

Cell lengths 4.118, 6.456, 6.456 Å; angles 68.02, 71.40, 71.40 degrees
Element x y z (fractional)
Hg 0.500 0.292 0.708
Pm 0.792 0.708 0.708
Tm 0.000 0.000 0.000
Pm 0.208 0.292 0.292
Hg 0.500 0.708 0.292

Computed stability ranking, most favorable first: run P, run Q

Run P
Here is PmTmHg3 after structural relaxation from Alexandria via LeMat-Bulk. Energies are from GGA-PBE.

Values from the calculation:
M_tot in μB/cell: 0.4
DOS(E_F) in states/eV/f.u.: 5.10

Cell lengths 3.578, 4.933, 14.633 Å; angles 90.00, 97.02, 90.00 degrees
Last column: magnetic moment on the atom in μB.
Element x y z (fractional)
Hg 0.684 0.250 0.368  0.00
Hg 0.475 0.250 0.951  0.01
Hg 0.624 0.750 0.248  0.01
Hg 0.525 0.750 0.049  0.01
Hg 0.376 0.250 0.752  0.01
Tm 0.789 0.250 0.578  0.01
Tm 0.211 0.750 0.422  0.01
Hg 0.316 0.750 0.632  0.00
Pm 0.077 0.250 0.153  0.08
Pm 0.923 0.750 0.847  0.08

Run Q
Here is PmTmHg3 after structural relaxation from Alexandria via LeMat-Bulk. Energies are from GGA-PBE.

Values from the calculation:
M_tot in μB/cell: 0.0
DOS(E_F) in states/eV/f.u.: 3.58

Cell lengths 7.655, 8.876, 8.876 Å; angles 63.39, 90.00, 90.00 degrees
Element x y z (fractional)
Hg 0.540 0.675 0.132
Hg 0.960 0.675 0.132
Pm 0.750 0.025 0.975
Tm 0.250 0.996 0.471
Hg 0.000 0.704 0.704
Hg 0.960 0.868 0.325
Hg 0.000 0.296 0.296
Hg 0.040 0.325 0.868
Tm 0.250 0.529 0.004
Tm 0.750 0.004 0.529
Tm 0.750 0.471 0.996
Pm 0.250 0.975 0.025
Hg 0.040 0.132 0.675
Hg 0.460 0.132 0.675
Pm 0.750 0.476 0.524
Pm 0.250 0.524 0.476
Hg 0.500 0.704 0.704
Hg 0.460 0.325 0.868
Hg 0.540 0.868 0.325
Hg 0.500 0.296 0.296

Computed stability ranking, most favorable first: run P, run Q

Run P
Here is Pm3Tm2Hg2 after structural relaxation from Alexandria via LeMat-Bulk. Energies are from GGA-PBE.

Values from the calculation:
M_tot in μB/cell: 0.5
DOS(E_F) in states/eV/f.u.: 8.10

Cell lengths 4.992, 3.529, 11.727 Å; angles 90.00, 77.71, 90.00 degrees
Last column: magnetic moment on the atom in μB.
Element x y z (fractional)
Pm 0.854 0.000 0.292  0.05
Hg 0.571 0.500 0.857  0.00
Tm 0.290 0.500 0.419  0.00
Hg 0.429 0.500 0.143  0.00
Pm 0.146 0.000 0.708  0.05
Pm 0.000 0.000 0.000  0.19
Tm 0.710 0.500 0.581  0.00

Run Q
Here is Pm3Tm2Hg2 after structural relaxation from Alexandria via LeMat-Bulk. Energies are from GGA-PBE.

Values from the calculation:
M_tot in μB/cell: 0.0
DOS(E_F) in states/eV/f.u.: 7.26

Cell lengths 5.405, 5.407, 8.574 Å; angles 108.36, 90.00, 119.99 degrees
Element x y z (fractional)
Tm 0.926 0.852 0.279
Hg 0.789 0.578 0.866
Tm 0.074 0.148 0.721
Pm 0.500 0.000 0.000
Hg 0.211 0.422 0.134
Pm 0.659 0.318 0.478
Pm 0.341 0.682 0.522

Computed stability ranking, most favorable first: run Q, run P

Run P
Here is PmTm3Hg2 after structural relaxation from Alexandria via LeMat-Bulk. Energies are from GGA-PBE.

Values from the calculation:
M_tot in μB/cell: 0.0
DOS(E_F) in states/eV/f.u.: 5.68

Cell lengths 3.663, 3.663, 12.257 Å; angles 90.00, 90.00, 90.00 degrees
Element x y z (fractional)
Hg 0.500 0.500 0.151
Tm 0.000 0.000 0.701
Tm 0.000 0.000 0.000
Pm 0.500 0.500 0.500
Tm 0.000 0.000 0.299
Hg 0.500 0.500 0.849

Run Q
Here is PmTm3Hg2 after structural relaxation from Alexandria via LeMat-Bulk. Energies are from GGA-PBE.

Values from the calculation:
M_tot in μB/cell: 0.0
DOS(E_F) in states/eV/f.u.: 2.80

Cell lengths 5.054, 7.118, 9.194 Å; angles 90.00, 90.00, 90.00 degrees
Element x y z (fractional)
Tm 0.000 0.334 0.319
Tm 0.000 0.983 0.057
Hg 0.000 0.257 0.650
Tm 0.500 0.167 0.829
Hg 0.000 0.757 0.350
Tm 0.500 0.667 0.171
Pm 0.500 0.516 0.557
Hg 0.500 0.243 0.145
Hg 0.500 0.743 0.855
Pm 0.500 0.016 0.443
Tm 0.000 0.483 0.943
Tm 0.000 0.834 0.681

Computed stability ranking, most favorable first: run Q, run P

Run P
Here is Pm2Tm2Hg after structural relaxation from Alexandria via LeMat-Bulk. Energies are from GGA-PBE.

Values from the calculation:
M_tot in μB/cell: 0.0
DOS(E_F) in states/eV/f.u.: 7.63

Cell lengths 3.584, 3.584, 11.863 Å; angles 98.69, 98.69, 90.00 degrees
Element x y z (fractional)
Hg 0.000 0.000 0.000
Tm 0.584 0.584 0.168
Pm 0.807 0.807 0.614
Pm 0.193 0.193 0.386
Tm 0.416 0.416 0.832

Run Q
Here is Pm2Tm2Hg after structural relaxation from Alexandria via LeMat-Bulk. Energies are from GGA-PBE.

Values from the calculation:
M_tot in μB/cell: 0.0
DOS(E_F) in states/eV/f.u.: 7.44

Cell lengths 5.114, 5.114, 12.720 Å; angles 101.60, 101.60, 90.00 degrees
Element x y z (fractional)
Hg 0.250 0.750 0.500
Tm 0.822 0.822 0.643
Tm 0.928 0.428 0.857
Hg 0.500 0.500 0.000
Tm 0.178 0.178 0.357
Tm 0.572 0.072 0.143
Pm 0.422 0.922 0.844
Pm 0.672 0.672 0.344
Pm 0.328 0.328 0.656
Pm 0.078 0.578 0.156

Computed stability ranking, most favorable first: run P, run Q

Run P
Here is PmTm3Hg4 after structural relaxation from Alexandria via LeMat-Bulk. Energies are from GGA-PBE.

Values from the calculation:
M_tot in μB/cell: 0.8
DOS(E_F) in states/eV/f.u.: 6.36

Cell lengths 5.203, 7.549, 10.406 Å; angles 90.00, 90.00, 90.00 degrees
Last column: magnetic moment on the atom in μB.
Element x y z (fractional)
Tm 0.501 0.000 0.250  0.01
Hg 0.500 0.761 0.500  0.00
Tm 0.000 0.000 0.500  0.02
Hg 0.500 0.239 0.500  0.00
Hg 0.999 0.761 0.750  0.00
Pm 0.000 0.500 0.000  0.10
Hg 0.001 0.239 0.250  0.00
Hg 0.001 0.761 0.250  0.00
Hg 0.500 0.239 0.000  0.00
Tm 0.501 0.500 0.250  0.12
Tm 0.499 0.500 0.750  0.12
Hg 0.999 0.239 0.750  0.00
Tm 0.000 0.000 0.000  0.02
Pm 0.000 0.500 0.500  0.10
Tm 0.499 0.000 0.750  0.01
Hg 0.500 0.761 0.000  0.00

Run Q
Here is PmTm3Hg4 after structural relaxation from Alexandria via LeMat-Bulk. Energies are from GGA-PBE.

Values from the calculation:
M_tot in μB/cell: 0.0
DOS(E_F) in states/eV/f.u.: 6.80

Cell lengths 5.249, 5.948, 7.688 Å; angles 107.93, 109.96, 90.00 degrees
Element x y z (fractional)
Tm 0.828 0.920 0.657
Hg 0.745 0.330 0.490
Tm 0.000 0.500 0.000
Tm 0.172 0.080 0.343
Hg 0.387 0.361 0.774
Hg 0.255 0.670 0.510
Pm 0.500 0.000 0.000
Hg 0.613 0.639 0.226

Computed stability ranking, most favorable first: run P, run Q